A plane-wave DFT calculation with PBE was carried out for a relaxed structure of Ac2NdIrPt.

Cell: 4.4271 4.4271 15.2261 Å, 90.00 90.00 90.00°
Sites, in units of the cell vectors:
Ac 0.2500 0.2500 0.0991
Ac 0.2500 0.2500 0.7122
Ac 0.7500 0.7500 0.2878
Ac 0.7500 0.7500 0.9009
Nd 0.2500 0.7500 0.5000
Nd 0.7500 0.2500 0.5000
Ir 0.2500 0.2500 0.8958
Ir 0.7500 0.7500 0.1042
Pt 0.2500 0.2500 0.3544
Pt 0.7500 0.7500 0.6456

Summary:
- Fermi-level density of states: 0.7794 states/eV/atom
- ρ: 10968 kg/m3
- Calculated formation energy: -0.656 eV per atom
- Symmetry: No. 129

A plane-wave DFT calculation with PBE was carried out for a relaxed structure of Ac2NdIrRh.

Cell: 7.2793 7.2793 10.2665 Å, 90.00 90.00 146.25°
Sites, in units of the cell vectors:
Ac 0.1405 0.8595 0.5654
Ac 0.1405 0.8595 0.9346
Ac 0.8595 0.1405 0.0654
Ac 0.8595 0.1405 0.4346
Nd 0.4033 0.5967 0.7500
Nd 0.5967 0.4033 0.2500
Ir 0.5000 0.5000 0.0000
Ir 0.5000 0.5000 0.5000
Rh 0.2395 0.7605 0.2500
Rh 0.7605 0.2395 0.7500

Summary:
- Fermi-level density of states: 0.5336 states/eV/atom
- ρ: 9817 kg/m3
- Calculated formation energy: -0.602 eV per atom
- Symmetry: No. 63

A plane-wave DFT calculation with PBE was carried out for a relaxed structure of Ac2Nd2Ir2Rh.

Cell: 7.3798 7.3798 8.2500 Å, 118.50 118.50 32.15°
Sites, in units of the cell vectors:
Ac 0.0354 0.0354 0.2640
Ac 0.9646 0.9646 0.7360
Nd 0.2808 0.2808 0.1996
Nd 0.7192 0.7192 0.8004
Ir 0.3867 0.3867 0.9630
Ir 0.6133 0.6133 0.0370
Rh 0.5000 0.5000 0.5000

Summary:
- Fermi-level density of states: 0.5116 states/eV/atom
- ρ: 9840 kg/m3
- Calculated formation energy: -0.567 eV per atom
- Symmetry: No. 12

A plane-wave DFT calculation with PBE was carried out for a relaxed structure of Ac3NdIrRh.

Cell: 8.2479 8.2479 12.6931 Å, 90.00 90.00 149.88°
Sites, in units of the cell vectors:
Ac 0.0051 0.9949 0.7500
Ac 0.3737 0.6263 0.5173
Ac 0.3737 0.6263 0.9827
Ac 0.6263 0.3737 0.0173
Ac 0.6263 0.3737 0.4827
Ac 0.9949 0.0051 0.2500
Nd 0.2409 0.7591 0.2500
Nd 0.7591 0.2409 0.7500
Ir 0.3724 0.6276 0.7500
Ir 0.6276 0.3724 0.2500
Rh 0.0000 0.0000 0.0000
Rh 0.0000 0.0000 0.5000

Summary:
- Fermi-level density of states: 0.7896 states/eV/atom
- ρ: 8587 kg/m3
- Calculated formation energy: -0.495 eV per atom
- Symmetry: No. 63

A plane-wave DFT calculation with PBE was carried out for a relaxed structure of Ac2NdSb3Ir4.

Cell: 4.5143 4.5143 11.6909 Å, 90.00 90.00 90.00°
Sites, in units of the cell vectors:
Ac 0.0000 0.5000 0.2345
Ac 0.5000 0.0000 0.7655
Nd 0.0000 0.0000 0.5000
Sb 0.0000 0.5000 0.8747
Sb 0.5000 0.0000 0.1253
Sb 0.5000 0.5000 0.5000
Ir 0.0000 0.0000 0.0000
Ir 0.0000 0.5000 0.6512
Ir 0.5000 0.0000 0.3488
Ir 0.5000 0.5000 0.0000

Summary:
- Fermi-level density of states: 0.7381 states/eV/atom
- ρ: 12075 kg/m3
- E_form (uncorrected): -62.76 kJ per mole of atoms
- Symmetry: No. 115

A plane-wave DFT calculation with PBE was carried out for a relaxed structure of Ac2NdSn4Ir3.

Cell: 4.5604 4.5604 12.2571 Å, 90.00 90.00 90.00°
Sites, in units of the cell vectors:
Ac 0.0000 0.5000 0.2268
Ac 0.5000 0.0000 0.7732
Nd 0.0000 0.0000 0.5000
Sn 0.0000 0.0000 0.0000
Sn 0.0000 0.5000 0.6645
Sn 0.5000 0.0000 0.3355
Sn 0.5000 0.5000 0.0000
Ir 0.0000 0.5000 0.8800
Ir 0.5000 0.0000 0.1200
Ir 0.5000 0.5000 0.5000

Summary:
- Fermi-level density of states: 0.5794 states/eV/atom
- ρ: 10747 kg/m3
- Calculated formation energy: -0.568 eV per atom
- Symmetry: No. 115

A plane-wave DFT calculation with PBE was carried out for a relaxed structure of AcNdSnIr.

Cell: 5.4052 5.4052 5.4052 Å, 60.00 60.00 60.00°
Sites, in units of the cell vectors:
Ac 0.0000 0.0000 0.0000
Nd 0.5000 0.5000 0.5000
Sn 0.7500 0.7500 0.7500
Ir 0.2500 0.2500 0.2500

Summary:
- Fermi-level density of states: 0.7996 states/eV/atom
- ρ: 10144 kg/m3
- Calculated formation energy: -0.404 eV per atom
- Symmetry: No. 216

A plane-wave DFT calculation with PBE was carried out for a relaxed structure of Ac8NiIr4.

Cell: 10.7484 10.7484 13.9744 Å, 128.32 128.32 23.71°
Sites, in units of the cell vectors:
Ac 0.0000 0.0000 0.0000
Ac 0.0418 0.0418 0.7462
Ac 0.2851 0.2851 0.9077
Ac 0.3636 0.3636 0.4114
Ac 0.6031 0.6031 0.5752
Ac 0.6507 0.6507 0.3165
Ac 0.6926 0.6926 0.0731
Ac 0.9478 0.9478 0.2381
Ni 0.5176 0.5176 0.8641
Ir 0.1841 0.1841 0.2136
Ir 0.4673 0.4673 0.1167
Ir 0.6688 0.6688 0.8351
Ir 0.9798 0.9798 0.4808

Summary:
- Fermi-level density of states: 0.5957 states/eV/atom
- ρ: 8739 kg/m3
- Calculated formation energy: -0.460 eV per atom
- Symmetry: No. 8

A plane-wave DFT calculation with PBE was carried out for a relaxed structure of Ac2Ni9Ir.

Cell: 8.8334 8.8334 8.8334 Å, 32.88 32.88 32.88°
Sites, in units of the cell vectors:
Ac 0.1298 0.1298 0.1298
Ac 0.8702 0.8702 0.8702
Ni 0.0782 0.5753 0.5753
Ni 0.3326 0.3326 0.3326
Ni 0.4247 0.4247 0.9218
Ni 0.4247 0.9218 0.4247
Ni 0.5000 0.5000 0.5000
Ni 0.5753 0.0782 0.5753
Ni 0.5753 0.5753 0.0782
Ni 0.6674 0.6674 0.6674
Ni 0.9218 0.4247 0.4247
Ir 0.0000 0.0000 0.0000

Summary:
- Fermi-level density of states: 1.2510 states/eV/atom
- ρ: 10787 kg/m3
- Calculated formation energy: 0.081 eV per atom
- Symmetry: No. 166

A plane-wave DFT calculation with PBE was carried out for a relaxed structure of Ac3Ni3Ir.

Cell: 5.9278 5.9278 15.3498 Å, 106.60 106.60 40.96°
Sites, in units of the cell vectors:
Ac 0.0232 0.0232 0.3871
Ac 0.1047 0.1047 0.9230
Ac 0.2395 0.2395 0.2283
Ac 0.7605 0.7605 0.7717
Ac 0.8953 0.8953 0.0770
Ac 0.9768 0.9768 0.6129
Ni 0.2993 0.2993 0.4685
Ni 0.4012 0.4012 0.9269
Ni 0.4684 0.4684 0.7745
Ni 0.5316 0.5316 0.2255
Ni 0.5988 0.5988 0.0731
Ni 0.7007 0.7007 0.5315
Ir 0.2715 0.2715 0.6296
Ir 0.7285 0.7285 0.3704

Summary:
- Fermi-level density of states: 0.9542 states/eV/atom
- Offset from the most stable computed form: 0 meV/atom
- ρ: 10348 kg/m3
- Calculated formation energy: -0.284 eV per atom
- Symmetry: No. 12

A plane-wave DFT calculation with PBE was carried out for a relaxed structure of AcNi4Ir.

Cell: 7.0848 4.0578 6.9831 Å, 90.00 90.00 90.00°
Sites, in units of the cell vectors:
Ac 0.2500 0.0000 0.1675
Ac 0.7500 0.0000 0.8325
Ni 0.0000 0.0000 0.5000
Ni 0.0752 0.5000 0.8386
Ni 0.2500 0.5000 0.5308
Ni 0.4248 0.5000 0.8386
Ni 0.5000 0.0000 0.5000
Ni 0.5752 0.5000 0.1614
Ni 0.7500 0.5000 0.4692
Ni 0.9248 0.5000 0.1614
Ir 0.2500 0.0000 0.7393
Ir 0.7500 0.0000 0.2607

Summary:
- Fermi-level density of states: 1.4145 states/eV/atom
- ρ: 10819 kg/m3
- Calculated formation energy: 0.015 eV per atom
- Symmetry: No. 51

A plane-wave DFT calculation with PBE was carried out for a relaxed structure of Ac12Ni2Ir5.

Cell: 8.9310 8.9310 10.5129 Å, 105.22 105.22 55.42°
Sites, in units of the cell vectors:
Ac 0.0361 0.0361 0.3274
Ac 0.0518 0.5713 0.3520
Ac 0.1227 0.6145 0.9891
Ac 0.3855 0.8773 0.0109
Ac 0.4287 0.9482 0.6480
Ac 0.4311 0.4311 0.6738
Ac 0.5689 0.5689 0.3262
Ac 0.5713 0.0518 0.3520
Ac 0.6145 0.1227 0.9891
Ac 0.8773 0.3855 0.0109
Ac 0.9482 0.4287 0.6480
Ac 0.9639 0.9639 0.6726
Ni 0.2636 0.7364 0.5000
Ni 0.7364 0.2636 0.5000
Ir 0.2075 0.2075 0.8787
Ir 0.2334 0.2334 0.4731
Ir 0.5000 0.5000 0.0000
Ir 0.7666 0.7666 0.5269
Ir 0.7925 0.7925 0.1213

Summary:
- Fermi-level density of states: 0.6989 states/eV/atom
- ρ: 9577 kg/m3
- Calculated formation energy: -0.421 eV per atom
- Symmetry: No. 12

A plane-wave DFT calculation with PBE was carried out for a relaxed structure of Ac9Ni4Ir2.

Cell: 7.4347 7.4347 20.8133 Å, 90.00 90.00 120.00°
Sites, in units of the cell vectors:
Ac 0.0000 0.3196 0.2500
Ac 0.0000 0.6804 0.7500
Ac 0.0114 0.3448 0.5836
Ac 0.0114 0.6666 0.0836
Ac 0.3196 0.0000 0.2500
Ac 0.3196 0.3196 0.7500
Ac 0.3334 0.3448 0.0836
Ac 0.3334 0.9886 0.5836
Ac 0.3448 0.0114 0.9164
Ac 0.3448 0.3334 0.4164
Ac 0.6552 0.6666 0.5836
Ac 0.6552 0.9886 0.0836
Ac 0.6666 0.0114 0.4164
Ac 0.6666 0.6552 0.9164
Ac 0.6804 0.0000 0.7500
Ac 0.6804 0.6804 0.2500
Ac 0.9886 0.3334 0.9164
Ac 0.9886 0.6552 0.4164
Ni 0.3333 0.6667 0.1697
Ni 0.3333 0.6667 0.4963
Ni 0.3333 0.6667 0.6697
Ni 0.3333 0.6667 0.9963
Ni 0.6667 0.3333 0.0037
Ni 0.6667 0.3333 0.3303
Ni 0.6667 0.3333 0.5037
Ni 0.6667 0.3333 0.8303
Ir 0.0000 0.0000 0.1598
Ir 0.0000 0.0000 0.3402
Ir 0.0000 0.0000 0.6598
Ir 0.0000 0.0000 0.8402

Summary:
- Fermi-level density of states: 0.7616 states/eV/atom
- ρ: 8874 kg/m3
- Calculated formation energy: -0.330 eV per atom
- Symmetry: No. 165

A plane-wave DFT calculation with PBE was carried out for a relaxed structure of Ac6NiIr3.

Cell: 12.5382 4.3504 13.0677 Å, 90.00 112.36 90.00°
Sites, in units of the cell vectors:
Ac 0.0528 0.2500 0.4048
Ac 0.0955 0.7500 0.9290
Ac 0.2386 0.2500 0.7620
Ac 0.2492 0.7500 0.2667
Ac 0.4049 0.2500 0.5632
Ac 0.4381 0.2500 0.1014
Ac 0.5619 0.7500 0.8986
Ac 0.5951 0.7500 0.4368
Ac 0.7508 0.2500 0.7333
Ac 0.7614 0.7500 0.2380
Ac 0.9045 0.2500 0.0710
Ac 0.9472 0.7500 0.5952
Ni 0.1917 0.7500 0.5652
Ni 0.8083 0.2500 0.4348
Ir 0.0008 0.2500 0.7678
Ir 0.3326 0.7500 0.9343
Ir 0.4190 0.2500 0.3371
Ir 0.5810 0.7500 0.6629
Ir 0.6674 0.2500 0.0657
Ir 0.9992 0.7500 0.2322

Summary:
- Fermi-level density of states: 0.6123 states/eV/atom
- ρ: 10062 kg/m3
- Calculated formation energy: -0.509 eV per atom
- Symmetry: No. 11

A plane-wave DFT calculation with PBE was carried out for a relaxed structure of Ac8NiIr3.

Cell: 8.5206 8.5206 8.4840 Å, 117.64 117.64 62.21°
Sites, in units of the cell vectors:
Ac 0.2411 0.7425 0.7561
Ac 0.2429 0.2429 0.2556
Ac 0.2574 0.2574 0.7423
Ac 0.2575 0.7589 0.2439
Ac 0.7425 0.2411 0.7561
Ac 0.7426 0.7426 0.2577
Ac 0.7571 0.7571 0.7444
Ac 0.7589 0.2575 0.2439
Ni 0.5000 0.5000 0.0000
Ir 0.0000 0.0000 0.0000
Ir 0.0000 0.5000 0.5000
Ir 0.5000 0.0000 0.5000

Summary:
- Fermi-level density of states: 0.8182 states/eV/atom
- ρ: 8888 kg/m3
- Calculated formation energy: -0.492 eV per atom
- Symmetry: No. 12

A plane-wave DFT calculation with PBE was carried out for a relaxed structure of Ac4NiIr2.

Cell: 7.6104 7.6104 7.8086 Å, 120.60 120.60 35.11°
Sites, in units of the cell vectors:
Ac 0.1175 0.1175 0.3092
Ac 0.3561 0.3561 0.2103
Ac 0.6439 0.6439 0.7897
Ac 0.8825 0.8825 0.6908
Ni 0.5000 0.5000 0.0000
Ir 0.2812 0.2812 0.7793
Ir 0.7188 0.7188 0.2207

Summary:
- Fermi-level density of states: 0.6662 states/eV/atom
- ρ: 10202 kg/m3
- Calculated formation energy: -0.498 eV per atom
- Symmetry: No. 12

A plane-wave DFT calculation with PBE was carried out for a relaxed structure of Ac4Ni2Ir.

Cell: 4.3230 7.0637 7.7100 Å, 74.49 89.87 89.96°
Sites, in units of the cell vectors:
Ac 0.0004 0.0945 0.2471
Ac 0.9996 0.9055 0.7529
Ac 0.4990 0.5785 0.2382
Ac 0.5010 0.4215 0.7618
Ni 0.4993 0.1666 0.5022
Ni 0.5007 0.8334 0.4978
Ir 0.0000 0.5000 0.0000

Summary:
- Fermi-level density of states: 0.5502 states/eV/atom
- ρ: 8912 kg/m3
- Calculated formation energy: -0.338 eV per atom
- Symmetry: No. 2

A plane-wave DFT calculation with PBE was carried out for a relaxed structure of Ac3NiIr2.

Cell: 12.1560 4.2780 12.2741 Å, 90.00 90.00 90.00°
Sites, in units of the cell vectors:
Ac 0.0571 0.2500 0.1247
Ac 0.1198 0.7500 0.5583
Ac 0.2080 0.2500 0.8083
Ac 0.2920 0.7500 0.3083
Ac 0.3802 0.2500 0.0583
Ac 0.4429 0.7500 0.6247
Ac 0.5571 0.2500 0.3753
Ac 0.6198 0.7500 0.9417
Ac 0.7080 0.2500 0.6917
Ac 0.7920 0.7500 0.1917
Ac 0.8802 0.2500 0.4417
Ac 0.9429 0.7500 0.8753
Ni 0.1254 0.2500 0.3704
Ni 0.3746 0.7500 0.8704
Ni 0.6254 0.2500 0.1296
Ni 0.8746 0.7500 0.6296
Ir 0.0220 0.7500 0.3164
Ir 0.1843 0.7500 0.9846
Ir 0.3157 0.2500 0.4846
Ir 0.4780 0.2500 0.8164
Ir 0.5220 0.7500 0.1836
Ir 0.6843 0.7500 0.5154
Ir 0.8157 0.2500 0.0154
Ir 0.9780 0.2500 0.6836

Summary:
- Fermi-level density of states: 0.9385 states/eV/atom
- ρ: 11698 kg/m3
- Calculated formation energy: -0.520 eV per atom
- Symmetry: No. 62